Material: Fe2SeBr
Method: DFT, GGA-PBE
State: relaxed

As for the total energy: -5.3639 eV per atom. The density is 5.9 Mg/m³. The calculation puts the total magnetic moment at 6.55 μB per cell.

It has space group Pmmm (No. 47), with a = 3.3262 Å, b = 3.4592 Å, c = 6.5918 Å, α = 90.00°, β = 90.00° and γ = 90.00°. The asymmetric unit holds Fe at (0.0000, 0.0000, 0.1803), Se at (0.5000, 0.5000, 0.0000) and Br at (0.5000, 0.0000, 0.5000).